No. 1
{"formula": "Zn2OsRuAu", "functional": "GGA-PBE", "state": "relaxed", "cell": [[-3.714, -1.265, -2.420], [2.720, -3.606, -2.290], [-1.151, -2.980, 3.324]], "species": ["Zn", "Zn", "Ru", "Au", "Os"], "frac_coords": [[0.500, 0.000, 0.000], [0.000, 0.000, 0.500], [0.500, 0.500, 0.500], [0.000, 0.000, 0.000], [0.000, 0.500, 0.000]], "mass_density_g_cm3": 9.55, "delta_e_f_ev_per_atom": 1.65, "magnetic_moment_mub_per_cell": 4.027, "space_group": "P4/mmm (123)", "total_energy_ev_per_atom": -3.6211}



No. 2
{"formula": "Os3AuS", "functional": "GGA-PBE", "state": "relaxed", "cell": [[-4.343, -0.290, -0.202], [0.353, -3.414, -2.685], [0.021, -2.693, 3.426]], "species": ["Os", "Au", "Os", "Os", "S"], "frac_coords": [[0.500, 0.000, 0.000], [0.500, 0.500, 0.500], [0.000, 0.000, 0.500], [0.000, 0.500, 0.000], [0.000, 0.000, 0.000]], "mass_density_g_cm3": 16.05, "e_above_lowest_polymorph_kj_per_mol_atoms": 0.00, "magnetic_moment_mub_per_cell": 1.486, "space_group": "Pm-3m (221)", "total_energy_ev_per_atom": -7.0196, "formation_energy_uncorrected_ev_per_atom": 1.199}



No. 3
{"formula": "Os2Au2S", "functional": "GGA-PBE", "state": "relaxed", "cell": [[-1.392, -2.360, 2.559], [-0.479, -2.600, -2.659], [4.981, -4.734, 1.090]], "species": ["S", "Os", "Au", "Os", "Au"], "frac_coords": [[0.000, 0.000, 0.000], [0.588, 0.588, 0.823], [0.750, 0.250, 0.500], [0.412, 0.412, 0.177], [0.250, 0.750, 0.500]], "mass_density_g_cm3": 14.81, "e_above_lowest_polymorph_kj_per_mol_atoms": 59.90, "magnetic_moment_mub_per_cell": 0.000, "space_group": "I4/mmm (139)", "total_energy_ev_per_atom": -5.4707, "formation_energy_uncorrected_ev_per_atom": 1.158}



No. 4
{"formula": "OsAu3S", "functional": "GGA-PBE", "state": "relaxed", "cell": [[-4.850, -0.658, -1.024], [0.161, -4.516, 2.140], [-1.207, 2.043, 4.401]], "species": ["S", "Au", "Os", "Au", "Au"], "frac_coords": [[0.500, 0.500, 0.500], [0.000, 0.500, 0.000], [0.000, 0.000, 0.000], [0.500, 0.000, 0.000], [0.000, 0.000, 0.500]], "mass_density_g_cm3": 10.80, "e_above_lowest_polymorph_kj_per_mol_atoms": 20.20, "magnetic_moment_mub_per_cell": 0.000, "space_group": "Pm-3m (221)", "total_energy_ev_per_atom": -3.4323, "formation_energy_uncorrected_ev_per_atom": 1.606}



No. 5
{"formula": "Os3AuS", "functional": "GGA-PBE", "state": "relaxed", "cell": [[4.925, 0.000, 0.000], [0.000, 4.925, 0.000], [0.000, 0.000, 4.925]], "species": ["S", "Os", "Os", "Au", "Os"], "frac_coords": [[0.500, 0.500, 0.500], [0.500, 0.000, 0.000], [0.000, 0.000, 0.500], [0.000, 0.000, 0.000], [0.000, 0.500, 0.000]], "mass_density_g_cm3": 11.11, "e_above_lowest_polymorph_kj_per_mol_atoms": 193.42, "magnetic_moment_mub_per_cell": 8.037, "space_group": "Pm-3m (221)", "total_energy_ev_per_atom": -5.0150, "formation_energy_uncorrected_ev_per_atom": 3.204}



No. 6
{"formula": "OsAuS2", "functional": "GGA-PBE", "state": "relaxed", "cell": [[5.647, 0.000, 0.000], [0.000, 5.647, 0.000], [2.823, 2.823, 5.155]], "species": ["S", "Au", "S", "S", "S", "Os", "Os", "Au"], "frac_coords": [[0.875, 0.834, 0.750], [0.750, 0.250, 0.500], [0.375, 0.416, 0.750], [0.584, 0.125, 0.250], [0.166, 0.625, 0.250], [0.500, 0.500, 0.000], [0.250, 0.750, 0.500], [0.000, 0.000, 0.000]], "mass_density_g_cm3": 9.12, "magnetic_moment_mub_per_cell": 0.000, "space_group": "I-42d (122)", "total_energy_ev_per_atom": -5.4549, "formation_energy_uncorrected_ev_per_atom": 0.236}